Record 1
An optimized crystal structure of Zr6AgPb. Source: Alexandria, functional PBE.

Unit cell a=9.380 b=9.380 c=9.380 alpha=151.88 beta=151.88 gamma=40.19
Element x y z (fractional)
Zr1 0.250 0.250 0.000
Zr2 0.876 0.376 0.500
Zr3 0.376 0.876 0.500
Zr4 0.124 0.624 0.500
Zr5 0.750 0.750 0.000
Zr6 0.624 0.124 0.500
Ag1 0.000 0.000 0.000
Pb1 0.500 0.500 0.000

Properties
Total energy ... -58.40 eV/f.u.
DOS(E_F) ... 7.97 states/eV per cell
Energy relative to the elements ... -69 meV per atom
Volume ... 183 Å³/f.u.



Record 2
An optimized crystal structure of ZrAgPb2. Source: Alexandria, functional PBE.

Unit cell a=5.727 b=5.727 c=5.727 alpha=133.88 beta=133.88 gamma=67.27
Element x y z (fractional)
Ag1 0.750 0.250 0.500
Pb1 0.000 0.000 0.000
Pb2 0.500 0.500 0.000
Zr1 0.250 0.750 0.500

Properties
Total energy ... -18.42 eV/f.u.
DOS(E_F) ... 2.67 states/eV per cell
Energy relative to the elements ... 99 meV per atom
Volume ... 96 Å³/f.u.



Record 3
An optimized crystal structure of ZrAgPb2. Source: Alexandria, functional PBE.

Unit cell a=5.168 b=5.168 c=5.168 alpha=60.00 beta=60.00 gamma=60.00
Element x y z (fractional)
Pb1 0.250 0.250 0.250
Pb2 0.750 0.750 0.750
Zr1 0.000 0.000 0.000
Ag1 0.500 0.500 0.500

Properties
Total energy ... -17.95 eV/f.u.
DOS(E_F) ... 2.96 states/eV per cell
Energy relative to the elements ... 218 meV per atom
Volume ... 98 Å³/f.u.